{"formula": "CuSF", "functional": "GGA-PBE", "state": "relaxed", "energy_ev_per_atom": -4.03, "e_above_lowest_polymorph_mev_per_atom": 0, "lattice_angstrom": [[-1.801, 3.468, 2.308], [-3.057, -1.327, -0.392], [0.925, -3.365, 4.168]], "species": ["Cu", "Cu", "F", "F", "S", "S"], "fractional_positions": [[0.000, 0.500, 0.000], [0.500, 0.000, 0.500], [0.265, 0.000, 0.144], [0.735, 0.000, 0.856], [0.815, 0.500, 0.373], [0.185, 0.500, 0.627]]}